(1)
Entry from the Alexandria database: a relaxed Tl6GaTe4 crystal (PBE).

## Properties
As for the space group: P6_3mc, No. 186. As for the calculated volume: 788 Å³/cell. Its crystal system is hexagonal. Its formation energy from raw total energies is -0.2671 eV per atom.

a b c (Å): 7.1027 11.3188 11.3188
angles (deg): 120.00 90.00 90.00
Last column: nearest neighbours and their distance in Å.
Atoms (fractional coordinates):
Tl  0.4089  0.6884  0.8442  5 Te 3.47-3.81, 4 Tl 3.78-3.87
Tl  0.4089  0.1558  0.3116  5 Te 3.47-3.81, 4 Tl 3.78-3.87
Tl  0.4089  0.1558  0.8442  5 Te 3.47-3.81, 4 Tl 3.78-3.87
Tl  0.9089  0.3116  0.1558  5 Te 3.47-3.81, 4 Tl 3.78-3.87
Tl  0.9089  0.8442  0.6884  5 Te 3.47-3.81, 4 Tl 3.78-3.87
Tl  0.9089  0.8442  0.1558  5 Te 3.47-3.81, 4 Tl 3.78-3.87
Tl  0.6430  0.9755  0.4878  5 Te 3.41-3.61, 4 Tl 3.58-3.78, 1 Ga 3.65
Tl  0.6430  0.5122  0.0245  5 Te 3.41-3.61, 4 Tl 3.58-3.78, 1 Ga 3.65
Tl  0.6430  0.5122  0.4878  5 Te 3.41-3.61, 4 Tl 3.58-3.78, 1 Ga 3.65
Tl  0.1430  0.0245  0.5122  5 Te 3.41-3.61, 4 Tl 3.58-3.78, 1 Ga 3.65
Tl  0.1430  0.4878  0.9755  5 Te 3.41-3.61, 4 Tl 3.58-3.78, 1 Ga 3.65
Tl  0.1430  0.4878  0.5122  5 Te 3.41-3.61, 4 Tl 3.58-3.78, 1 Ga 3.65
Ga  0.7846  0.3333  0.6667  4 Te 2.74-2.78
Ga  0.2846  0.6667  0.3333  4 Te 2.74-2.78
Te  0.3983  0.3333  0.6667  1 Ga 2.74
Te  0.8983  0.6667  0.3333  1 Ga 2.74
Te  0.8846  0.6073  0.8036  1 Ga 2.78
Te  0.8846  0.1964  0.3927  1 Ga 2.78
Te  0.8846  0.1964  0.8036  1 Ga 2.78
Te  0.3846  0.3927  0.1964  1 Ga 2.78
Te  0.3846  0.8036  0.6073  1 Ga 2.78
Te  0.3846  0.8036  0.1964  1 Ga 2.78

=====

(2)
Entry from the Alexandria database: a relaxed LiAgCl2 crystal (PBE).

## Properties
As for the space group: F-43m, No. 216. As for the calculated volume: 81 Å³/cell. Its crystal system is cubic. Its formation energy from raw total energies is -0.4527 eV per atom.

a b c (Å): 4.8470 4.8470 4.8470
angles (deg): 60.00 60.00 60.00
Last column: nearest neighbours and their distance in Å.
Atoms (fractional coordinates):
Ag  0.5000  0.5000  0.5000  4 Li 2.97, 4 Cl 2.97
Cl  0.0000  0.0000  0.0000  4 Cl 2.97, 4 Li 2.97
Cl  0.2500  0.2500  0.2500  4 Ag 2.97, 4 Cl 2.97
Li  0.7500  0.7500  0.7500  4 Cl 2.97, 4 Ag 2.97

=====

(3)
Entry from the Alexandria database: a relaxed Pm4BAsI2 crystal (PBE).

## Properties
As for the space group: P2/m, No. 10. As for the calculated volume: 232 Å³/cell. Its crystal system is monoclinic. Its formation energy from raw total energies is -0.9729 eV per atom.

a b c (Å): 4.1502 7.2892 8.0218
angles (deg): 107.22 90.00 90.00
Last column: nearest neighbours and their distance in Å.
Atoms (fractional coordinates):
Pm  0.5000  0.2047  0.1831  2 B 2.72, 1 As 2.94
Pm  0.5000  0.7953  0.8169  2 B 2.72, 1 As 2.94
Pm  0.0000  0.2457  0.8109  1 B 2.67, 2 As 2.89
Pm  0.0000  0.7543  0.1890  1 B 2.67, 2 As 2.89
B  0.0000  0.0000  0.0000  6 Pm 2.67-2.72
As  0.5000  0.5000  0.0000  6 Pm 2.89-2.94
I  0.5000  0.0000  0.5000  6 Pm 3.31-3.33
I  0.0000  0.5000  0.5000  6 Pm 3.49-3.52